No. 1
First-principles (GGA-PBE) data for an optimized crystal structure of LiNpMnS4, as listed in Alexandria via LeMat-Bulk.

```
data_LiNpMnS4
_chemical_formula_sum 'Li2 Np2 Mn2 S8'
_space_group_name_H-M_alt 'P 1'
_space_group_IT_number 1
_cell_length_a 7.453
_cell_length_b 7.429
_cell_length_c 7.429
_cell_angle_alpha 65.42
_cell_angle_beta 59.89
_cell_angle_gamma 59.89
loop_
_space_group_symop_operation_xyz
'x,y,z'
loop_
_atom_site_label
_atom_site_type_symbol
_atom_site_fract_x
_atom_site_fract_y
_atom_site_fract_z
Li1 Li 0.357 0.393 0.893
S1 S 0.743 0.218 0.296
Mn1 Mn 0.000 0.000 0.500
S2 S 0.767 0.245 0.745
S3 S 0.758 0.755 0.255
S4 S 0.257 0.782 0.704
S5 S 0.743 0.796 0.718
S6 S 0.257 0.204 0.282
S7 S 0.242 0.245 0.745
S8 S 0.233 0.755 0.255
Np1 Np 0.000 0.000 0.000
Li2 Li 0.643 0.607 0.107
Np2 Np 0.000 0.500 0.500
Mn2 Mn 0.500 0.000 0.500
```

=====

No. 2
First-principles (GGA-PBE) data for an optimized crystal structure of LiNpMn4S8, as listed in Alexandria via LeMat-Bulk.

```
data_LiNpMn4S8
_chemical_formula_sum 'Li1 Np1 Mn4 S8'
_space_group_name_H-M_alt 'P 1'
_space_group_IT_number 1
_cell_length_a 7.305
_cell_length_b 7.305
_cell_length_c 7.422
_cell_angle_alpha 60.52
_cell_angle_beta 60.52
_cell_angle_gamma 60.00
loop_
_space_group_symop_operation_xyz
'x,y,z'
loop_
_atom_site_label
_atom_site_type_symbol
_atom_site_fract_x
_atom_site_fract_y
_atom_site_fract_z
S1 S 0.746 0.746 0.275
Np1 Np 0.001 0.001 0.996
S2 S 0.746 0.233 0.275
Mn1 Mn 0.631 0.631 0.108
S3 S 0.772 0.252 0.724
S4 S 0.762 0.762 0.713
Mn2 Mn 0.488 0.005 0.503
S5 S 0.252 0.772 0.724
Li1 Li 0.370 0.370 0.891
S6 S 0.233 0.746 0.275
Mn3 Mn 0.005 0.005 0.503
Mn4 Mn 0.005 0.488 0.503
S7 S 0.252 0.252 0.724
S8 S 0.238 0.238 0.285
```

=====

No. 3
First-principles (GGA-PBE) data for an optimized crystal structure of Li2Np3MnS6, as listed in Alexandria via LeMat-Bulk.

```
data_Li2Np3MnS6
_chemical_formula_sum 'Li2 Np3 Mn1 S6'
_space_group_name_H-M_alt 'P 1'
_space_group_IT_number 1
_cell_length_a 6.686
_cell_length_b 6.686
_cell_length_c 6.134
_cell_angle_alpha 100.47
_cell_angle_beta 100.47
_cell_angle_gamma 120.02
loop_
_space_group_symop_operation_xyz
'x,y,z'
loop_
_atom_site_label
_atom_site_type_symbol
_atom_site_fract_x
_atom_site_fract_y
_atom_site_fract_z
Np1 Np 0.831 0.169 0.500
S1 S 0.395 0.075 0.224
Mn1 Mn 0.000 0.000 0.000
S2 S 0.605 0.925 0.776
Np2 Np 0.169 0.831 0.500
Np3 Np 0.500 0.500 0.500
S3 S 0.075 0.395 0.224
Li1 Li 0.666 0.334 0.000
S4 S 0.756 0.756 0.230
Li2 Li 0.334 0.666 0.000
S5 S 0.925 0.605 0.776
S6 S 0.244 0.244 0.770
```

=====

No. 4
First-principles (GGA-PBE) data for an optimized crystal structure of Li3NpMn2S6, as listed in Alexandria via LeMat-Bulk.

```
data_Li3NpMn2S6
_chemical_formula_sum 'Li3 Np1 Mn2 S6'
_space_group_name_H-M_alt 'P 1'
_space_group_IT_number 1
_cell_length_a 6.370
_cell_length_b 6.370
_cell_length_c 6.457
_cell_angle_alpha 99.43
_cell_angle_beta 99.43
_cell_angle_gamma 120.01
loop_
_space_group_symop_operation_xyz
'x,y,z'
loop_
_atom_site_label
_atom_site_type_symbol
_atom_site_fract_x
_atom_site_fract_y
_atom_site_fract_z
S1 S 0.734 0.734 0.241
S2 S 0.426 0.080 0.240
Li1 Li 0.834 0.166 0.500
S3 S 0.266 0.266 0.759
S4 S 0.080 0.426 0.240
Li2 Li 0.500 0.500 0.500
Mn1 Mn 0.333 0.667 0.000
S5 S 0.574 0.920 0.760
S6 S 0.920 0.574 0.760
Np1 Np 0.000 0.000 0.000
Li3 Li 0.166 0.834 0.500
Mn2 Mn 0.667 0.333 0.000
```

=====

No. 5
First-principles (GGA-PBE) data for an optimized crystal structure of Li2NpMn3S6, as listed in Alexandria via LeMat-Bulk.

```
data_Li2NpMn3S6
_chemical_formula_sum 'Li2 Np1 Mn3 S6'
_space_group_name_H-M_alt 'P 1'
_space_group_IT_number 1
_cell_length_a 6.416
_cell_length_b 6.416
_cell_length_c 6.444
_cell_angle_alpha 99.57
_cell_angle_beta 99.57
_cell_angle_gamma 120.07
loop_
_space_group_symop_operation_xyz
'x,y,z'
loop_
_atom_site_label
_atom_site_type_symbol
_atom_site_fract_x
_atom_site_fract_y
_atom_site_fract_z
Li1 Li 0.668 0.332 0.000
S1 S 0.749 0.749 0.261
S2 S 0.087 0.424 0.266
S3 S 0.251 0.251 0.739
S4 S 0.424 0.087 0.266
S5 S 0.913 0.576 0.734
Li2 Li 0.332 0.668 0.000
Mn1 Mn 0.837 0.163 0.500
Np1 Np 0.000 0.000 0.000
Mn2 Mn 0.500 0.500 0.500
Mn3 Mn 0.163 0.837 0.500
S6 S 0.576 0.913 0.734
```

=====

No. 6
First-principles (GGA-PBE) data for an optimized crystal structure of Li2NpMnS4, as listed in Alexandria via LeMat-Bulk.

```
data_Li2NpMnS4
_chemical_formula_sum 'Li2 Np1 Mn1 S4'
_space_group_name_H-M_alt 'P 1'
_space_group_IT_number 1
_cell_length_a 3.813
_cell_length_b 6.429
_cell_length_c 6.484
_cell_angle_alpha 109.13
_cell_angle_beta 90.00
_cell_angle_gamma 90.00
loop_
_space_group_symop_operation_xyz
'x,y,z'
loop_
_atom_site_label
_atom_site_type_symbol
_atom_site_fract_x
_atom_site_fract_y
_atom_site_fract_z
S1 S 0.500 0.235 0.238
Li1 Li 0.500 0.000 0.500
Li2 Li 0.000 0.500 0.500
Mn1 Mn 0.000 0.000 0.000
S2 S 0.000 0.758 0.251
S3 S 0.000 0.242 0.749
Np1 Np 0.500 0.500 0.000
S4 S 0.500 0.765 0.762
```

=====

No. 7
First-principles (GGA-PBE) data for an optimized crystal structure of Li4Np3MnS8, as listed in Alexandria via LeMat-Bulk.

```
data_Li4Np3MnS8
_chemical_formula_sum 'Li4 Np3 Mn1 S8'
_space_group_name_H-M_alt 'P 1'
_space_group_IT_number 1
_cell_length_a 7.711
_cell_length_b 7.582
_cell_length_c 7.719
_cell_angle_alpha 120.29
_cell_angle_beta 119.97
_cell_angle_gamma 90.00
loop_
_space_group_symop_operation_xyz
'x,y,z'
loop_
_atom_site_label
_atom_site_type_symbol
_atom_site_fract_x
_atom_site_fract_y
_atom_site_fract_z
S1 S 0.759 0.748 0.003
Li1 Li 0.000 0.000 0.500
S2 S 0.247 0.242 0.494
S3 S 0.753 0.758 0.506
S4 S 0.756 0.252 0.997
S5 S 0.241 0.252 0.997
Np1 Np 0.500 0.500 0.000
Li2 Li 0.500 0.000 0.500
S6 S 0.246 0.746 0.491
Np2 Np 0.000 0.500 0.500
S7 S 0.244 0.748 0.003
Mn1 Mn 0.000 0.500 0.000
Np3 Np 0.500 0.500 0.500
Li3 Li 0.000 0.000 0.000
S8 S 0.754 0.254 0.509
Li4 Li 0.500 0.000 0.000
```

=====

No. 8
First-principles (GGA-PBE) data for an optimized crystal structure of LiNp2MnS5, as listed in Alexandria via LeMat-Bulk.

```
data_LiNp2MnS5
_chemical_formula_sum 'Li2 Np4 Mn2 S10'
_space_group_name_H-M_alt 'P 1'
_space_group_IT_number 1
_cell_length_a 3.826
_cell_length_b 8.025
_cell_length_c 11.424
_cell_angle_alpha 90.00
_cell_angle_beta 90.00
_cell_angle_gamma 103.79
loop_
_space_group_symop_operation_xyz
'x,y,z'
loop_
_atom_site_label
_atom_site_type_symbol
_atom_site_fract_x
_atom_site_fract_y
_atom_site_fract_z
S1 S 0.280 0.560 0.666
Li1 Li 0.794 0.589 0.506
Np1 Np 0.855 0.709 0.799
S2 S 0.054 0.108 0.072
S3 S 0.485 0.971 0.771
S4 S 0.672 0.343 0.857
Li2 Li 0.206 0.411 0.006
S5 S 0.328 0.657 0.357
Np2 Np 0.145 0.291 0.299
S6 S 0.720 0.440 0.166
S7 S 0.946 0.892 0.572
S8 S 0.515 0.029 0.271
Mn1 Mn 0.528 0.056 0.961
S9 S 0.630 0.259 0.500
S10 S 0.370 0.741 0.000
Np3 Np 0.106 0.211 0.692
Np4 Np 0.894 0.789 0.192
Mn2 Mn 0.472 0.944 0.461
```

=====

No. 9
First-principles (GGA-PBE) data for an optimized crystal structure of Li3Np2MnS6, as listed in Alexandria via LeMat-Bulk.

```
data_Li3Np2MnS6
_chemical_formula_sum 'Li3 Np2 Mn1 S6'
_space_group_name_H-M_alt 'P 1'
_space_group_IT_number 1
_cell_length_a 6.601
_cell_length_b 6.601
_cell_length_c 6.533
_cell_angle_alpha 99.68
_cell_angle_beta 99.68
_cell_angle_gamma 119.98
loop_
_space_group_symop_operation_xyz
'x,y,z'
loop_
_atom_site_label
_atom_site_type_symbol
_atom_site_fract_x
_atom_site_fract_y
_atom_site_fract_z
S1 S 0.245 0.245 0.752
S2 S 0.590 0.917 0.752
S3 S 0.410 0.083 0.248
S4 S 0.083 0.410 0.248
Li1 Li 0.164 0.836 0.500
Li2 Li 0.836 0.164 0.500
Np1 Np 0.667 0.333 0.000
S5 S 0.917 0.590 0.752
Np2 Np 0.333 0.667 0.000
Li3 Li 0.500 0.500 0.500
S6 S 0.755 0.755 0.248
Mn1 Mn 0.000 0.000 0.000
```

=====

No. 10
First-principles (GGA-PBE) data for an optimized crystal structure of Li3NpMn2Se6, as listed in Alexandria via LeMat-Bulk.

```
data_Li3NpMn2Se6
_chemical_formula_sum 'Li3 Np1 Mn2 Se6'
_space_group_name_H-M_alt 'P 1'
_space_group_IT_number 1
_cell_length_a 6.669
_cell_length_b 6.669
_cell_length_c 6.800
_cell_angle_alpha 99.42
_cell_angle_beta 99.42
_cell_angle_gamma 119.91
loop_
_space_group_symop_operation_xyz
'x,y,z'
loop_
_atom_site_label
_atom_site_type_symbol
_atom_site_fract_x
_atom_site_fract_y
_atom_site_fract_z
Se1 Se 0.080 0.429 0.243
Mn1 Mn 0.668 0.332 0.000
Se2 Se 0.571 0.920 0.757
Np1 Np 0.000 0.000 0.000
Li1 Li 0.162 0.838 0.500
Li2 Li 0.838 0.162 0.500
Li3 Li 0.500 0.500 0.500
Mn2 Mn 0.332 0.668 0.000
Se3 Se 0.429 0.080 0.243
Se4 Se 0.920 0.571 0.757
Se5 Se 0.731 0.731 0.241
Se6 Se 0.269 0.269 0.759
```

=====

No. 11
First-principles (GGA-PBE) data for an optimized crystal structure of Li3Np2MnSe6, as listed in Alexandria via LeMat-Bulk.

```
data_Li3Np2MnSe6
_chemical_formula_sum 'Li3 Np2 Mn1 Se6'
_space_group_name_H-M_alt 'P 1'
_space_group_IT_number 1
_cell_length_a 6.908
_cell_length_b 6.908
_cell_length_c 6.874
_cell_angle_alpha 99.63
_cell_angle_beta 99.63
_cell_angle_gamma 120.00
loop_
_space_group_symop_operation_xyz
'x,y,z'
loop_
_atom_site_label
_atom_site_type_symbol
_atom_site_fract_x
_atom_site_fract_y
_atom_site_fract_z
Np1 Np 0.667 0.333 0.000
Mn1 Mn 0.000 0.000 0.000
Se1 Se 0.591 0.916 0.749
Li1 Li 0.833 0.167 0.500
Se2 Se 0.084 0.409 0.251
Np2 Np 0.333 0.667 0.000
Li2 Li 0.167 0.833 0.500
Li3 Li 0.500 0.500 0.500
Se3 Se 0.242 0.242 0.750
Se4 Se 0.758 0.758 0.250
Se5 Se 0.409 0.084 0.251
Se6 Se 0.916 0.591 0.749
```

=====

No. 12
First-principles (GGA-PBE) data for an optimized crystal structure of LiNpMnSe4, as listed in Alexandria via LeMat-Bulk.

```
data_LiNpMnSe4
_chemical_formula_sum 'Li2 Np2 Mn2 Se8'
_space_group_name_H-M_alt 'P 1'
_space_group_IT_number 1
_cell_length_a 7.866
_cell_length_b 7.779
_cell_length_c 7.779
_cell_angle_alpha 65.49
_cell_angle_beta 59.63
_cell_angle_gamma 59.63
loop_
_space_group_symop_operation_xyz
'x,y,z'
loop_
_atom_site_label
_atom_site_type_symbol
_atom_site_fract_x
_atom_site_fract_y
_atom_site_fract_z
Se1 Se 0.762 0.249 0.749
Se2 Se 0.739 0.221 0.302
Se3 Se 0.261 0.198 0.279
Np1 Np 0.000 0.000 0.000
Li1 Li 0.647 0.603 0.103
Se4 Se 0.261 0.779 0.698
Se5 Se 0.761 0.751 0.251
Se6 Se 0.739 0.802 0.721
Mn1 Mn 0.000 0.000 0.500
Se7 Se 0.238 0.751 0.251
Np2 Np 0.000 0.500 0.500
Se8 Se 0.239 0.249 0.749
Li2 Li 0.353 0.397 0.897
Mn2 Mn 0.500 0.000 0.500
```

=====

no.,electronic total energy (eV per atom)
1,-6.83
2,-6.82
3,-7.51
4,-6.21
5,-6.69
6,-6.44
7,-6.77
8,-7.54
9,-6.68
10,-5.75
11,-6.20
12,-6.30